First-principles (PBE) data for crystalline LiYPd3 at its relaxed geometry, as listed in the Alexandria database.

Energy above the most stable polymorph in this dataset = 27 meV per atom
Energy relative to the elements = -0.543 eV per atom
Space group = P2_1/c, No. 14

abc: 5.606 5.605 12.486
angles: 90.00 116.58 90.00
Atoms (fractional coordinates):
Li 0.113 0.000 0.119
Li 0.113 0.500 0.619
Li 0.887 0.000 0.881
Li 0.887 0.500 0.381
Y 0.253 0.000 0.750
Y 0.253 0.500 0.250
Y 0.747 0.000 0.250
Y 0.747 0.500 0.750
Pd 0.180 0.173 0.502
Pd 0.180 0.327 0.002
Pd 0.329 0.678 0.502
Pd 0.329 0.822 0.002
Pd 0.331 0.501 0.835
Pd 0.331 0.999 0.335
Pd 0.669 0.001 0.665
Pd 0.669 0.499 0.165
Pd 0.671 0.178 0.998
Pd 0.671 0.322 0.498
Pd 0.820 0.673 0.998
Pd 0.820 0.827 0.498